LaCoF2 after structural relaxation. Source: Alexandria via LeMat-Bulk, functional GGA+U.

Results
D(E_F) = 0.000 states/eV/f.u.
Density = 5.0 Mg/m³
Final energy = -0.386 Ry/atom
Offset from the most stable computed form = 0 meV/atom

```
data_LaCoF2
_symmetry_space_group_name_H-M 'I -4 2 d'
_symmetry_Int_Tables_number 122
_symmetry_space_group_name_Hall 'I -4 2bw'
_cell_length_a 4.447
_cell_length_b 4.447
_cell_length_c 15.826
_cell_angle_alpha 90.00
_cell_angle_beta 90.00
_cell_angle_gamma 90.00
loop_
_atom_site_label
_atom_site_type_symbol
_atom_site_fract_x
_atom_site_fract_y
_atom_site_fract_z
La1 La 0.000 0.000 0.000
Co1 Co 0.000 0.000 0.500
F1 F 0.179 0.250 0.125
```